# 1
CsMnI2O8 (GGA+U, relaxed); symmetry = R-3 (148); raw total energy = -4.90 eV/atom
1.0
2.761 1.594 7.827
-2.761 1.594 7.827
0.000 -3.188 7.827
Cs Mn I O
1 1 2 8
direct
0.000 0.000 0.000
0.500 0.500 0.500
0.216 0.216 0.216
0.784 0.784 0.784
0.169 0.739 0.450
0.261 0.550 0.831
0.292 0.292 0.292
0.450 0.169 0.739
0.550 0.831 0.261
0.708 0.708 0.708
0.739 0.450 0.169
0.831 0.261 0.550

***

# 2
CsMnI2O (GGA+U, relaxed); symmetry = P4/mmm (123); E above lowest polymorph = 1255 meV per atom
1.0
6.908 0.000 0.000
0.000 6.908 0.000
0.000 0.000 4.423
Cs Mn I O
1 1 2 1
direct
0.000 0.000 0.000
0.500 0.500 0.500
0.000 0.500 0.000
0.500 0.000 0.000
0.000 0.000 0.500

***

# 3
CsMnI2O (GGA+U, relaxed); symmetry = P4/mmm (123); E above lowest polymorph = 0 meV per atom
1.0
6.561 0.000 0.000
0.000 6.561 0.000
0.000 0.000 3.784
Cs Mn I O
1 1 2 1
direct
0.000 0.000 0.000
0.500 0.500 0.500
0.000 0.500 0.500
0.500 0.000 0.500
0.500 0.500 0.000